4
Lattice="0.000 3.312 3.312 3.312 0.000 3.312 3.312 3.312 0.000" Properties=species:S:1:pos:R:3 comment="PBE HfInCoHg, optimized geometry" magmom_total_mub_per_cell=0.45 relative_energy_mev_per_atom=89 space_group="F-43m (216)" volume_a3_per_cell=72.7 pbc="T T T"
In 0.000 0.000 0.000
Co 4.968 4.968 4.968
Hg 3.312 3.312 3.312
Hf 1.656 1.656 1.656